No. 1
## TbLuAg (PBE)

Data for crystalline TbLuAg at its relaxed geometry.

Cell lengths 6.712, 6.712, 6.712 Å; angles 149.29, 149.29, 43.99 degrees
Fractional positions:
Tb (0.000, 0.000, 0.000)
Lu (0.299, 0.299, 0.000)
Ag (0.658, 0.658, 0.000)

Values from the calculation:
- Space group: I4mm (107)
- Crystal system: tetragonal
- E above lowest polymorph: 0 meV per atom
- Energy relative to the elements: -0.179 eV/atom
- Calculated total energy: -4.179 eV per atom

***

No. 2
## TbLuAg (PBE)

Data for crystalline TbLuAg at its relaxed geometry.

Cell lengths 5.012, 5.012, 3.628 Å; angles 90.00, 90.00, 120.00 degrees
Fractional positions:
Tb (0.000, 0.000, 0.000)
Lu (0.333, 0.667, 0.534)
Ag (0.667, 0.333, 0.315)

Values from the calculation:
- Space group: P3m1 (156)
- Crystal system: trigonal
- E above lowest polymorph: 136 meV per atom
- Energy relative to the elements: -0.042 eV/atom
- Calculated total energy: -4.043 eV per atom

***

No. 3
## TbLuTcAg (PBE)

Data for crystalline TbLuTcAg at its relaxed geometry.

Cell lengths 4.931, 4.931, 4.931 Å; angles 60.00, 60.00, 60.00 degrees
Fractional positions:
Tb (0.000, 0.000, 0.000)
Lu (0.500, 0.500, 0.500)
Tc (0.750, 0.750, 0.750)
Ag (0.250, 0.250, 0.250)

Values from the calculation:
- Space group: F-43m (216)
- Crystal system: cubic
- Energy relative to the elements: -0.147 eV/atom
- Calculated total energy: -5.739 eV per atom

***

No. 4
## TbLuTlAg (PBE)

Data for crystalline TbLuTlAg at its relaxed geometry.

Cell lengths 5.224, 5.224, 5.224 Å; angles 60.00, 60.00, 60.00 degrees
Fractional positions:
Tb (0.000, 0.000, 0.000)
Lu (0.500, 0.500, 0.500)
Tl (0.250, 0.250, 0.250)
Ag (0.750, 0.750, 0.750)

Values from the calculation:
- Space group: F-43m (216)
- Crystal system: cubic
- Energy relative to the elements: -0.328 eV/atom
- Calculated total energy: -3.920 eV per atom

***

No. 5
## TbLuZnAg (PBE)

Data for crystalline TbLuZnAg at its relaxed geometry.

Cell lengths 5.058, 5.058, 5.058 Å; angles 60.00, 60.00, 60.00 degrees
Fractional positions:
Tb (0.000, 0.000, 0.000)
Lu (0.500, 0.500, 0.500)
Zn (0.750, 0.750, 0.750)
Ag (0.250, 0.250, 0.250)

Values from the calculation:
- Space group: F-43m (216)
- Crystal system: cubic
- Energy relative to the elements: -0.327 eV/atom
- Calculated total energy: -3.646 eV per atom

***

No. 6
## LuThTcAg (PBE)

Data for crystalline LuThTcAg at its relaxed geometry.

Cell lengths 5.030, 5.030, 5.030 Å; angles 60.00, 60.00, 60.00 degrees
Fractional positions:
Lu (0.000, 0.000, 0.000)
Th (0.500, 0.500, 0.500)
Tc (0.250, 0.250, 0.250)
Ag (0.750, 0.750, 0.750)

Values from the calculation:
- Space group: F-43m (216)
- Crystal system: cubic
- Energy relative to the elements: -0.138 eV/atom
- Calculated total energy: -6.427 eV per atom

***

No. 7
## LuZrTcAg (PBE)

Data for crystalline LuZrTcAg at its relaxed geometry.

Cell lengths 4.809, 4.809, 4.809 Å; angles 60.00, 60.00, 60.00 degrees
Fractional positions:
Lu (0.000, 0.000, 0.000)
Zr (0.500, 0.500, 0.500)
Tc (0.750, 0.750, 0.750)
Ag (0.250, 0.250, 0.250)

Values from the calculation:
- Space group: F-43m (216)
- Crystal system: cubic
- Energy relative to the elements: -0.190 eV/atom
- Calculated total energy: -6.762 eV per atom

***

No. 8
## LuAgTe2 (PBE)

Data for crystalline LuAgTe2 at its relaxed geometry.

Cell lengths 8.939, 8.939, 8.939 Å; angles 28.74, 28.74, 28.74 degrees
Fractional positions:
Lu (0.000, 0.000, 0.000)
Ag (0.500, 0.500, 0.500)
Te (0.397, 0.397, 0.397)
Te (0.603, 0.603, 0.603)

Values from the calculation:
- ΔE_f (raw): -0.790 eV per atom
- Space group: R-3m (166)
- Crystal system: trigonal
- Calculated total energy: -4.204 eV per atom

***

No. 9
## LuAgTe2 (PBE)

Data for crystalline LuAgTe2 at its relaxed geometry.

Cell lengths 4.421, 4.421, 7.416 Å; angles 90.00, 90.00, 120.00 degrees
Fractional positions:
Lu (0.000, 0.000, 0.000)
Ag (0.333, 0.667, 0.413)
Te (0.333, 0.667, 0.785)
Te (0.667, 0.333, 0.239)

Values from the calculation:
- ΔE_f (raw): -0.844 eV per atom
- Space group: P3m1 (156)
- Crystal system: trigonal
- Calculated total energy: -4.258 eV per atom

***

No. 10
## Lu2AgTe (PBE)

Data for crystalline Lu2AgTe at its relaxed geometry.

Cell lengths 3.777, 3.777, 6.843 Å; angles 90.00, 90.00, 90.00 degrees
Fractional positions:
Lu (0.000, 0.000, 0.243)
Lu (0.000, 0.000, 0.757)
Ag (0.500, 0.500, 0.000)
Te (0.500, 0.500, 0.500)

Values from the calculation:
- ΔE_f (raw): -0.574 eV per atom
- Space group: P4/mmm (123)
- Crystal system: tetragonal
- E above lowest polymorph: 68 meV per atom
- Calculated total energy: -4.332 eV per atom

***

No. 11
## Lu2AgTe (PBE)

Data for crystalline Lu2AgTe at its relaxed geometry.

Cell lengths 7.893, 7.893, 7.893 Å; angles 29.74, 29.74, 29.74 degrees
Fractional positions:
Lu (0.244, 0.244, 0.244)
Lu (0.756, 0.756, 0.756)
Ag (0.500, 0.500, 0.500)
Te (0.000, 0.000, 0.000)

Values from the calculation:
- ΔE_f (raw): -0.641 eV per atom
- Space group: R-3m (166)
- Crystal system: trigonal
- E above lowest polymorph: 0 meV per atom
- Calculated total energy: -4.400 eV per atom

***

No. 12
## LuThAg2 (PBE)

Data for crystalline LuThAg2 at its relaxed geometry.

Cell lengths 5.194, 5.194, 5.194 Å; angles 60.00, 60.00, 60.00 degrees
Fractional positions:
Lu (0.000, 0.000, 0.000)
Th (0.500, 0.500, 0.500)
Ag (0.250, 0.250, 0.250)
Ag (0.750, 0.750, 0.750)

Values from the calculation:
- Space group: Fm-3m (225)
- Crystal system: cubic
- E above lowest polymorph: 47 meV per atom
- Energy relative to the elements: -0.146 eV/atom
- Calculated total energy: -4.557 eV per atom

***

No. 13
## LuThAg2 (PBE)

Data for crystalline LuThAg2 at its relaxed geometry.

Cell lengths 3.519, 3.519, 7.829 Å; angles 90.00, 90.00, 90.00 degrees
Fractional positions:
Lu (0.000, 0.000, 0.000)
Th (0.000, 0.000, 0.500)
Ag (0.500, 0.500, 0.221)
Ag (0.500, 0.500, 0.779)

Values from the calculation:
- Space group: P4/mmm (123)
- Crystal system: tetragonal
- E above lowest polymorph: 0 meV per atom
- Energy relative to the elements: -0.193 eV/atom
- Calculated total energy: -4.604 eV per atom

***

No. 14
## LuThAg (PBE)

Data for crystalline LuThAg at its relaxed geometry.

Cell lengths 5.056, 5.056, 3.715 Å; angles 90.00, 90.00, 120.00 degrees
Fractional positions:
Lu (0.000, 0.000, 0.000)
Th (0.667, 0.333, 0.499)
Ag (0.333, 0.667, 0.997)

Values from the calculation:
- Space group: P3m1 (156)
- Crystal system: trigonal
- E above lowest polymorph: 203 meV per atom
- Energy relative to the elements: 0.088 eV/atom
- Calculated total energy: -4.843 eV per atom

***

No. 15
## LuThAg (PBE)

Data for crystalline LuThAg at its relaxed geometry.

Cell lengths 6.852, 6.852, 6.852 Å; angles 149.94, 149.94, 43.04 degrees
Fractional positions:
Lu (0.000, 0.000, 0.000)
Th (0.691, 0.691, 0.000)
Ag (0.364, 0.364, 0.000)

Values from the calculation:
- Space group: I4mm (107)
- Crystal system: tetragonal
- E above lowest polymorph: 0 meV per atom
- Energy relative to the elements: -0.115 eV/atom
- Calculated total energy: -5.046 eV per atom

***

No. 16
## Lu2ThAg (PBE)

Data for crystalline Lu2ThAg at its relaxed geometry.

Cell lengths 3.587, 3.587, 8.265 Å; angles 90.00, 90.00, 90.00 degrees
Fractional positions:
Lu (0.000, 0.000, 0.213)
Lu (0.000, 0.000, 0.787)
Th (0.500, 0.500, 0.500)
Ag (0.500, 0.500, 0.000)

Values from the calculation:
- Space group: P4/mmm (123)
- Crystal system: tetragonal
- E above lowest polymorph: 0 meV per atom
- Energy relative to the elements: -0.149 eV/atom
- Calculated total energy: -4.977 eV per atom

***

No. 17
## Lu2ThAg (PBE)

Data for crystalline Lu2ThAg at its relaxed geometry.

Cell lengths 10.403, 10.403, 10.403 Å; angles 19.53, 19.53, 19.53 degrees
Fractional positions:
Lu (0.241, 0.241, 0.241)
Lu (0.759, 0.759, 0.759)
Th (0.000, 0.000, 0.000)
Ag (0.500, 0.500, 0.500)

Values from the calculation:
- Space group: R-3m (166)
- Crystal system: trigonal
- E above lowest polymorph: 130 meV per atom
- Energy relative to the elements: -0.018 eV/atom
- Calculated total energy: -4.847 eV per atom

***

No. 18
## LuThAg4 (PBE)

Data for crystalline LuThAg4 at its relaxed geometry.

Cell lengths 5.715, 5.715, 5.715 Å; angles 60.00, 60.00, 60.00 degrees
Fractional positions:
Lu (0.000, 0.000, 0.000)
Th (0.750, 0.750, 0.750)
Ag (0.375, 0.375, 0.375)
Ag (0.375, 0.375, 0.876)
Ag (0.375, 0.876, 0.375)
Ag (0.876, 0.375, 0.375)

Values from the calculation:
- Space group: F-43m (216)
- Crystal system: cubic
- Energy relative to the elements: -0.076 eV/atom
- Calculated total energy: -3.967 eV per atom

***

No. 19
## Lu2ThAg (PBE)

Data for crystalline Lu2ThAg at its relaxed geometry.

Cell lengths 4.739, 4.739, 4.834 Å; angles 90.00, 90.00, 90.00 degrees
Fractional positions:
Lu (0.000, 0.500, 0.000)
Lu (0.500, 0.000, 0.000)
Th (0.000, 0.000, 0.500)
Ag (0.500, 0.500, 0.500)

Values from the calculation:
- Space group: P4/mmm (123)
- Crystal system: tetragonal
- E above lowest polymorph: 224 meV per atom
- Energy relative to the elements: 0.075 eV/atom
- Calculated total energy: -4.753 eV per atom

***

No. 20
## LuThZnAg (PBE)

Data for crystalline LuThZnAg at its relaxed geometry.

Cell lengths 5.150, 5.150, 5.150 Å; angles 60.00, 60.00, 60.00 degrees
Fractional positions:
Lu (0.000, 0.000, 0.000)
Th (0.500, 0.500, 0.500)
Zn (0.750, 0.750, 0.750)
Ag (0.250, 0.250, 0.250)

Values from the calculation:
- Space group: F-43m (216)
- Crystal system: cubic
- Energy relative to the elements: -0.177 eV/atom
- Calculated total energy: -4.193 eV per atom